Record 1
LaSiHg2 | PBE | optimized geometry

Properties
**Magnetic moment**: 0.0 μB/f.u.
**Formation energy without anion corrections**: -0.72 eV per formula unit
**Uncorrected energy**: -2.92 eV per atom

Cell lengths 4.4529, 4.4529, 11.2957 Å; angles 78.63, 78.63, 90.00 degrees
With the nearest neighbours (Å) after each atom.
Element x y z (fractional)
Si  0.5000  0.5000  0.0000  4 Hg 3.08, 4 La 3.15
Si  0.2500  0.7500  0.5000  4 Hg 3.08, 4 La 3.15
Hg  0.5888  0.1250  0.2500  2 Hg 2.93, 2 Si 3.08, 2 La 3.20
Hg  0.1612  0.6250  0.2500  2 Hg 2.93, 2 Si 3.08, 2 La 3.20
Hg  0.3750  0.4112  0.7500  2 Hg 2.93, 2 Si 3.08, 2 La 3.20
Hg  0.8750  0.8388  0.7500  2 Hg 2.93, 2 Si 3.08, 2 La 3.20
La  0.0000  0.0000  0.0000  4 Si 3.15, 4 Hg 3.20
La  0.7500  0.2500  0.5000  4 Si 3.15, 4 Hg 3.20

=====

Record 2
Tb12CeTh5 | PBE | optimized geometry

Properties
**Magnetic moment**: 1.2 μB/f.u.
**Uncorrected energy**: -5.42 eV per atom
**Formation energy**: 1.06 eV/f.u.

Cell lengths 10.6487, 10.7107, 6.1889 Å; angles 107.13, 90.00, 60.19 degrees
With the nearest neighbours (Å) after each atom.
Element x y z (fractional)
Tb  0.8357  0.0000  0.5003  7 Tb 3.50-3.60, 2 Ce 3.55-3.56, 3 Th 3.56-3.57
Tb  0.1643  0.0000  0.4997  7 Tb 3.50-3.60, 2 Ce 3.55-3.56, 3 Th 3.56-3.57
Tb  0.6637  0.0001  0.0001  7 Tb 3.49-3.60, 4 Th 3.55-3.56, 1 Ce 3.58
Tb  0.3363  0.9999  0.9999  7 Tb 3.49-3.60, 4 Th 3.55-3.56, 1 Ce 3.58
Tb  0.3311  0.6664  0.0016  7 Tb 3.50-3.60, 4 Th 3.55-3.57, 1 Ce 3.56
Tb  0.0022  0.6665  0.0019  7 Tb 3.50-3.60, 4 Th 3.55-3.57, 1 Ce 3.56
Tb  0.9978  0.3335  0.9981  7 Tb 3.50-3.60, 4 Th 3.55-3.57, 1 Ce 3.56
Tb  0.6689  0.3336  0.9984  7 Tb 3.50-3.60, 4 Th 3.55-3.57, 1 Ce 3.56
Tb  0.4981  0.3332  0.4997  7 Tb 3.50-3.60, 5 Th 3.55-3.57
Tb  0.8311  0.6667  0.5004  7 Tb 3.50-3.60, 5 Th 3.55-3.57
Tb  0.1689  0.3333  0.4996  7 Tb 3.50-3.60, 5 Th 3.55-3.57
Tb  0.5019  0.6668  0.5003  7 Tb 3.50-3.60, 5 Th 3.55-3.57
Ce  0.0000  0.0000  0.0000  2 Th 3.55, 10 Tb 3.55-3.58
Th  0.5000  0.0000  0.5000  10 Tb 3.55-3.57, 2 Th 3.56
Th  0.1664  0.6671  0.5010  10 Tb 3.55-3.57, 1 Ce 3.55, 1 Th 3.56
Th  0.8336  0.3329  0.4990  10 Tb 3.55-3.57, 1 Ce 3.55, 1 Th 3.56
Th  0.6667  0.6665  0.9997  10 Tb 3.55-3.57, 2 Th 3.56
Th  0.3333  0.3335  0.0003  10 Tb 3.55-3.57, 2 Th 3.56

=====

Record 3
Sr3MgSb2O9 | PBE | optimized geometry

Properties
**Magnetic moment**: 0.0 μB/f.u.
**Formation energy without anion corrections**: -34.35 eV per formula unit
**Uncorrected energy**: -6.26 eV per atom

Cell lengths 5.7085, 5.7085, 7.0168 Å; angles 90.00, 90.00, 120.00 degrees
With the nearest neighbours (Å) after each atom.
Element x y z (fractional)
Sr  0.3333  0.6667  0.6521  12 O 2.81-2.95
Sr  0.0000  0.0000  0.0000  12 O 2.83-2.85
Sr  0.6667  0.3333  0.3479  12 O 2.81-2.95
Mg  0.0000  0.0000  0.5000  6 O 2.06
Sb  0.3333  0.6667  0.1742  6 O 1.95-2.05
Sb  0.6667  0.3333  0.8258  6 O 1.95-2.05
O  0.8315  0.1685  0.6735  1 Sb 1.95, 1 Mg 2.06
O  0.8315  0.6630  0.6735  1 Sb 1.95, 1 Mg 2.06
O  0.3370  0.1685  0.6735  1 Sb 1.95, 1 Mg 2.06
O  0.6630  0.8315  0.3265  1 Sb 1.95, 1 Mg 2.06
O  0.1685  0.3370  0.3265  1 Sb 1.95, 1 Mg 2.06
O  0.1685  0.8315  0.3265  1 Sb 1.95, 1 Mg 2.06
O  0.5000  0.0000  0.0000  2 Sb 2.05
O  0.0000  0.5000  0.0000  2 Sb 2.05
O  0.5000  0.5000  0.0000  2 Sb 2.05

=====

| no. | calculated density (g/cm³) |
| --- | --- |
| 1 | 8.77 |
| 2 | 9.24 |
| 3 | 5.66 |